# Pm2ZrGeN5 (PBE, relaxed)
data_Pm2ZrGeN5
_chemical_formula_sum 'Pm8 Zr4 Ge4 N20'
_symmetry_space_group_name_H-M 'C m c 21'
_symmetry_Int_Tables_number 36
_cell_length_a 3.341
_cell_length_b 14.528
_cell_length_c 10.072
_cell_angle_alpha 90.00
_cell_angle_beta 90.00
_cell_angle_gamma 90.00
loop_
_symmetry_equiv_pos_as_xyz
'x,y,z'
'-x,-y,z+1/2'
'-x,y,z'
'x,-y,z+1/2'
'x+1/2,y+1/2,z'
'-x+1/2,-y+1/2,z+1/2'
'-x+1/2,y+1/2,z'
'x+1/2,-y+1/2,z+1/2'
loop_
_atom_site_label
_atom_site_fract_x
_atom_site_fract_y
_atom_site_fract_z
_atom_site_occupancy
Pm1 0.000 0.111 0.000 1
Pm2 0.000 0.125 0.620 1
Zr1 0.000 0.217 0.328 1
Ge1 0.000 0.453 0.771 1
N1 0.000 0.047 0.368 1
N2 0.000 0.290 0.974 1
N3 0.000 0.326 0.692 1
N4 0.000 0.359 0.318 1
N5 0.000 0.498 0.102 1
# Calculated density   7.12 Mg/m³
# Size of the total moment   0.000 μB/atom
# Total energy   -289.74 eV/cell

# YCdAg3 (PBE, relaxed)
data_YCdAg3
_chemical_formula_sum 'Y2 Cd2 Ag6'
_symmetry_space_group_name_H-M 'P -1'
_symmetry_Int_Tables_number 2
_cell_length_a 5.069
_cell_length_b 5.183
_cell_length_c 8.226
_cell_angle_alpha 72.39
_cell_angle_beta 89.97
_cell_angle_gamma 89.83
loop_
_symmetry_equiv_pos_as_xyz
'x,y,z'
'-x,-y,-z'
loop_
_atom_site_label
_atom_site_fract_x
_atom_site_fract_y
_atom_site_fract_z
_atom_site_occupancy
Y1 0.249 0.088 0.199 1
Cd1 0.249 0.317 0.788 1
Ag1 0.250 0.476 0.414 1
Ag2 0.250 0.894 0.593 1
Ag3 0.251 0.684 0.002 1
# Calculated density   8.46 Mg/m³
# Energy above the lowest structure with this stoichiometry   0.0 meV/atom
# Size of the total moment   0.000 μB/atom
# Energy of formation   -21.3 kJ/mol of atoms
# Total energy   -34.07 eV/cell

# LaPaBi2 (PBE, relaxed)
data_LaPaBi2
_chemical_formula_sum 'La3 Pa3 Bi6'
_symmetry_space_group_name_H-M 'R -3 m'
_symmetry_Int_Tables_number 166
_symmetry_space_group_name_Hall '-R 3 2"'
_cell_length_a 4.5582
_cell_length_b 4.5582
_cell_length_c 22.8581
_cell_angle_alpha 90.00
_cell_angle_beta 90.00
_cell_angle_gamma 120.00
loop_
_atom_site_label
_atom_site_fract_x
_atom_site_fract_y
_atom_site_fract_z
_atom_site_occupancy
La1 0.0000 0.0000 0.0000 1
Pa1 0.0000 0.0000 0.5000 1
Bi1 0.0000 0.0000 0.2461 1
# Calculated density   9.54 Mg/m³
# Energy above the lowest structure with this stoichiometry   0.0 meV/atom
# Size of the total moment   0.317 μB/atom
# Energy of formation   -52.0 kJ/mol of atoms
# Total energy   -73.02 eV/cell

# Zr5Tl2In2 (PBE, relaxed)
data_Zr5Tl2In2
_chemical_formula_sum 'Zr20 Tl8 In8'
_symmetry_space_group_name_H-M 'C m c e'
_symmetry_Int_Tables_number 64
_symmetry_space_group_name_Hall '-C 2ac 2'
_cell_length_a 14.612
_cell_length_b 7.693
_cell_length_c 7.669
_cell_angle_alpha 90.00
_cell_angle_beta 90.00
_cell_angle_gamma 90.00
loop_
_atom_site_label
_atom_site_fract_x
_atom_site_fract_y
_atom_site_fract_z
_atom_site_occupancy
Zr1 0.000 0.000 0.000 1
Zr2 0.134 0.177 0.326 1
Tl1 0.212 0.000 0.000 1
In1 0.000 0.128 0.630 1
# Calculated density   8.43 Mg/m³
# Size of the total moment   0.000 μB/atom
# Energy of formation   -7.9 kJ/mol of atoms
# Total energy   -214.76 eV/cell

# Dy8BiSb5 (PBE, relaxed)
data_Dy8BiSb5
_chemical_formula_sum 'Dy16 Bi2 Sb10'
_symmetry_space_group_name_H-M 'I -4'
_symmetry_Int_Tables_number 82
_cell_length_a 9.231
_cell_length_b 9.231
_cell_length_c 9.207
_cell_angle_alpha 90.00
_cell_angle_beta 90.00
_cell_angle_gamma 90.00
loop_
_symmetry_equiv_pos_as_xyz
'x,y,z'
'y,-x,-z'
'-x,-y,z'
'-y,x,-z'
'x+1/2,y+1/2,z+1/2'
'y+1/2,-x+1/2,-z+1/2'
'-x+1/2,-y+1/2,z+1/2'
'-y+1/2,x+1/2,-z+1/2'
loop_
_atom_site_label
_atom_site_fract_x
_atom_site_fract_y
_atom_site_fract_z
_atom_site_occupancy
Dy1 0.073 0.173 0.303 1
Dy2 0.073 0.321 0.944 1
Bi1 0.000 0.500 0.250 1
Sb1 0.000 0.000 0.000 1
Sb2 0.126 0.251 0.623 1
# Calculated density   8.97 Mg/m³
# Size of the total moment   0.000 μB/atom
# Total energy   -149.15 eV/cell

# AlSi2Rh2 (PBE, relaxed)
data_AlSi2Rh2
_chemical_formula_sum 'Al2 Si4 Rh4'
_symmetry_space_group_name_H-M 'P 4/m b m'
_symmetry_Int_Tables_number 127
_symmetry_space_group_name_Hall '-P 4 2ab'
_cell_length_a 7.140
_cell_length_b 7.140
_cell_length_c 2.797
_cell_angle_alpha 90.00
_cell_angle_beta 90.00
_cell_angle_gamma 90.00
loop_
_atom_site_label
_atom_site_fract_x
_atom_site_fract_y
_atom_site_fract_z
_atom_site_occupancy
Al1 0.000 0.000 0.000 1
Si1 0.152 0.348 0.500 1
Rh1 0.144 0.644 0.000 1
# Calculated density   6.73 Mg/m³
# Size of the total moment   0.000 μB/atom
# Total energy   -63.48 eV/cell

# MgCdPbF6 (PBE, relaxed)
data_MgCdPbF6
_chemical_formula_sum 'Mg2 Cd2 Pb2 F12'
_symmetry_space_group_name_H-M 'P -3 1 c'
_symmetry_Int_Tables_number 163
_symmetry_space_group_name_Hall '-P 3 2c'
_cell_length_a 5.6779
_cell_length_b 5.6779
_cell_length_c 10.2965
_cell_angle_alpha 90.00
_cell_angle_beta 90.00
_cell_angle_gamma 120.00
loop_
_atom_site_label
_atom_site_fract_x
_atom_site_fract_y
_atom_site_fract_z
_atom_site_occupancy
Mg1 0.3333 0.6667 0.2500 1
Cd1 0.3333 0.6667 0.7500 1
Pb1 0.0000 0.0000 0.0000 1
F1 0.0320 0.3743 0.1410 1
# Calculated density   5.29 Mg/m³
# Size of the total moment   0.000 μB/atom
# Total energy   -83.46 eV/cell

# Ba2Li5Hg5 (PBE, relaxed)
data_Ba2Li5Hg5
_chemical_formula_sum 'Ba2 Li5 Hg5'
_symmetry_space_group_name_H-M 'P m m m'
_symmetry_Int_Tables_number 47
_cell_length_a 4.699
_cell_length_b 6.015
_cell_length_c 10.878
_cell_angle_alpha 90.00
_cell_angle_beta 90.00
_cell_angle_gamma 90.00
loop_
_symmetry_equiv_pos_as_xyz
'x,y,z'
'-x,-y,-z'
'-x,-y,z'
'x,y,-z'
'x,-y,-z'
'-x,y,z'
'-x,y,-z'
'x,-y,z'
loop_
_atom_site_label
_atom_site_fract_x
_atom_site_fract_y
_atom_site_fract_z
_atom_site_occupancy
Ba1 0.000 0.000 0.000 1
Ba2 0.000 0.500 0.500 1
Li1 0.500 0.000 0.500 1
Li2 0.500 0.249 0.246 1
Hg1 0.000 0.000 0.332 1
Hg2 0.000 0.500 0.183 1
Hg3 0.500 0.500 0.000 1
# Calculated density   7.09 Mg/m³
# Size of the total moment   0.000 μB/atom
# Energy of formation   -35.5 kJ/mol of atoms
# Total energy   -19.34 eV/cell

# Tc2BIN (PBE, relaxed)
data_Tc2BIN
_chemical_formula_sum 'Tc2 B1 I1 N1'
_symmetry_space_group_name_H-M 'P 4/m m m'
_symmetry_Int_Tables_number 123
_symmetry_space_group_name_Hall '-P 4 2'
_cell_length_a 4.590
_cell_length_b 4.590
_cell_length_c 3.063
_cell_angle_alpha 90.00
_cell_angle_beta 90.00
_cell_angle_gamma 90.00
loop_
_atom_site_label
_atom_site_fract_x
_atom_site_fract_y
_atom_site_fract_z
_atom_site_occupancy
Tc1 0.000 0.500 0.000 1
B1 0.000 0.000 0.500 1
I1 0.500 0.500 0.500 1
N1 0.000 0.000 0.000 1
# Calculated density   8.95 Mg/m³
# Size of the total moment   0.000 μB/atom
# Total energy   -32.02 eV/cell

# La7Hg2Rh2 (PBE, relaxed)
data_La7Hg2Rh2
_chemical_formula_sum 'La14 Hg4 Rh4'
_symmetry_space_group_name_H-M 'C m m m'
_symmetry_Int_Tables_number 65
_symmetry_space_group_name_Hall '-C 2 2'
_cell_length_a 8.277
_cell_length_b 11.587
_cell_length_c 7.365
_cell_angle_alpha 90.00
_cell_angle_beta 90.00
_cell_angle_gamma 90.00
loop_
_atom_site_label
_atom_site_fract_x
_atom_site_fract_y
_atom_site_fract_z
_atom_site_occupancy
La1 0.000 0.000 0.000 1
La2 0.000 0.500 0.245 1
La3 0.250 0.250 0.257 1
Hg1 0.175 0.000 0.500 1
Rh1 0.000 0.289 0.000 1
# Calculated density   7.43 Mg/m³
# Size of the total moment   0.000 μB/atom
# Energy of formation   -39.7 kJ/mol of atoms
# Total energy   -108.64 eV/cell

# BeReC3 (PBE, relaxed)
data_BeReC3
_chemical_formula_sum 'Be1 Re1 C3'
_symmetry_space_group_name_H-M 'P m -3 m'
_symmetry_Int_Tables_number 221
_symmetry_space_group_name_Hall '-P 4 2 3'
_cell_length_a 4.011
_cell_length_b 4.011
_cell_length_c 4.011
_cell_angle_alpha 90.00
_cell_angle_beta 90.00
_cell_angle_gamma 90.00
loop_
_atom_site_label
_atom_site_fract_x
_atom_site_fract_y
_atom_site_fract_z
_atom_site_occupancy
Be1 0.000 0.000 0.000 1
Re1 0.500 0.500 0.500 1
C1 0.000 0.500 0.500 1
# Calculated density   5.95 Mg/m³
# Energy above the lowest structure with this stoichiometry   0.0 meV/atom
# Size of the total moment   0.000 μB/atom
# Energy of formation   203.0 kJ/mol of atoms
# Total energy   -33.33 eV/cell

# CsHg2Cl (PBE, relaxed)
data_CsHg2Cl
_chemical_formula_sum 'Cs4 Hg8 Cl4'
_symmetry_space_group_name_H-M 'F m -3 m'
_symmetry_Int_Tables_number 225
_symmetry_space_group_name_Hall '-F 4 2 3'
_cell_length_a 8.597
_cell_length_b 8.597
_cell_length_c 8.597
_cell_angle_alpha 90.00
_cell_angle_beta 90.00
_cell_angle_gamma 90.00
loop_
_atom_site_label
_atom_site_fract_x
_atom_site_fract_y
_atom_site_fract_z
_atom_site_occupancy
Cs1 0.000 0.000 0.000 1
Hg1 0.250 0.250 0.250 1
Cl1 0.000 0.000 0.500 1
# Calculated density   5.95 Mg/m³
# Energy above the lowest structure with this stoichiometry   62.6 meV/atom
# Size of the total moment   0.000 μB/atom
# Total energy   -24.71 eV/cell